# CaMgRe2 | Alexandria | PBE-GGA | optimized geometry
data_CaMgRe2
_space_group_name_H-M_alt 'F -4 3 m'
_space_group_IT_number 216
_space_group_name_Hall 'F -4 2 3'
_cell_length_a 6.539
_cell_length_b 6.539
_cell_length_c 6.539
_cell_angle_alpha 90.00
_cell_angle_beta 90.00
_cell_angle_gamma 90.00
loop_
_atom_site_label
_atom_site_fract_x
_atom_site_fract_y
_atom_site_fract_z
Ca1 0.000 0.000 0.000
Mg1 0.250 0.250 0.750
Re1 0.000 0.000 0.500
Re2 0.250 0.250 0.250
# DOS(E_F) = 0.2704 states/eV per atom
# total magnetic moment = 0.0 μB/cell
# raw total energy = -106.40 eV for the cell shown

# SbOsNO2 | Alexandria | PBE-GGA | optimized geometry
data_SbOsNO2
_space_group_name_H-M_alt 'P 4/m m m'
_space_group_IT_number 123
_space_group_name_Hall '-P 4 2'
_cell_length_a 4.068
_cell_length_b 4.068
_cell_length_c 3.804
_cell_angle_alpha 90.00
_cell_angle_beta 90.00
_cell_angle_gamma 90.00
loop_
_atom_site_label
_atom_site_fract_x
_atom_site_fract_y
_atom_site_fract_z
Sb1 0.000 0.000 0.000
Os1 0.500 0.500 0.500
N1 0.500 0.500 0.000
O1 0.000 0.500 0.500
# DOS(E_F) = 0.6830 states/eV per atom
# formation energy without anion corrections = 0.02 eV per atom
# total magnetic moment = 0.0 μB/cell

# NbVAs2 | Alexandria | PBE-GGA | optimized geometry
data_NbVAs2
_space_group_name_H-M_alt 'P n m a'
_space_group_IT_number 62
_cell_length_a 5.109
_cell_length_b 3.524
_cell_length_c 16.163
_cell_angle_alpha 90.00
_cell_angle_beta 90.00
_cell_angle_gamma 90.00
loop_
_space_group_symop_operation_xyz
'x,y,z'
'-x,-y,-z'
'-x+1/2,-y,z+1/2'
'x+1/2,y,-z+1/2'
'x+1/2,-y+1/2,-z+1/2'
'-x+1/2,y+1/2,z+1/2'
'-x,y+1/2,-z'
'x,-y+1/2,z'
loop_
_atom_site_label
_atom_site_fract_x
_atom_site_fract_y
_atom_site_fract_z
Nb1 0.208 0.250 0.084
V1 0.193 0.250 0.858
As1 0.210 0.250 0.700
As2 0.212 0.250 0.457
# polymorph energy (0 for the lowest one) = 94.2 meV per atom
# DOS(E_F) = 0.8438 states/eV per atom
# total magnetic moment = 0.0 μB/cell

# ZrZnAgRh | Alexandria | PBE-GGA | optimized geometry
data_ZrZnAgRh
_space_group_name_H-M_alt 'F -4 3 m'
_space_group_IT_number 216
_space_group_name_Hall 'F -4 2 3'
_cell_length_a 6.483
_cell_length_b 6.483
_cell_length_c 6.483
_cell_angle_alpha 90.00
_cell_angle_beta 90.00
_cell_angle_gamma 90.00
loop_
_atom_site_label
_atom_site_fract_x
_atom_site_fract_y
_atom_site_fract_z
Zr1 0.000 0.000 0.000
Zn1 0.000 0.000 0.500
Ag1 0.250 0.250 0.750
Rh1 0.250 0.250 0.250
# DOS(E_F) = 0.6882 states/eV per atom
# total magnetic moment = 0.0 μB/cell
# raw total energy = -85.20 eV for the cell shown

# TbNdGe2Rh2 | Alexandria | PBE-GGA | optimized geometry
data_TbNdGe2Rh2
_space_group_name_H-M_alt 'P -3 m 1'
_space_group_IT_number 164
_space_group_name_Hall '-P 3 2"'
_cell_length_a 4.3941
_cell_length_b 4.3941
_cell_length_c 7.3022
_cell_angle_alpha 90.00
_cell_angle_beta 90.00
_cell_angle_gamma 120.00
loop_
_atom_site_label
_atom_site_fract_x
_atom_site_fract_y
_atom_site_fract_z
Tb1 0.0000 0.0000 0.0000
Nd1 0.0000 0.0000 0.5000
Ge1 0.3333 0.6667 0.7662
Rh1 0.3333 0.6667 0.2225
# DOS(E_F) = 0.7082 states/eV per atom
# total magnetic moment = 0.0 μB/cell
# raw total energy = -38.61 eV for the cell shown

# Hf8BiSb2 | Alexandria | PBE-GGA | optimized geometry
data_Hf8BiSb2
_space_group_name_H-M_alt 'C 1 2/m 1'
_space_group_IT_number 12
_cell_length_a 16.952
_cell_length_b 4.138
_cell_length_c 7.525
_cell_angle_alpha 90.00
_cell_angle_beta 110.10
_cell_angle_gamma 90.00
loop_
_space_group_symop_operation_xyz
'x,y,z'
'-x,-y,-z'
'-x,y,-z'
'x,-y,z'
'x+1/2,y+1/2,z'
'-x+1/2,-y+1/2,-z'
'-x+1/2,y+1/2,-z'
'x+1/2,-y+1/2,z'
loop_
_atom_site_label
_atom_site_fract_x
_atom_site_fract_y
_atom_site_fract_z
Hf1 0.046 0.000 0.246
Hf2 0.083 0.500 0.961
Hf3 0.148 0.000 0.715
Hf4 0.181 0.500 0.424
Bi1 0.000 0.500 0.500
Sb1 0.211 0.000 0.158
# DOS(E_F) = 0.8888 states/eV per atom
# formation energy without anion corrections = -0.19 eV per atom
# total magnetic moment = 0.0 μB/cell

# TcTeWN2 | Alexandria | PBE-GGA | optimized geometry
data_TcTeWN2
_space_group_name_H-M_alt 'P 4/m m m'
_space_group_IT_number 123
_space_group_name_Hall '-P 4 2'
_cell_length_a 3.940
_cell_length_b 3.940
_cell_length_c 5.736
_cell_angle_alpha 90.00
_cell_angle_beta 90.00
_cell_angle_gamma 90.00
loop_
_atom_site_label
_atom_site_fract_x
_atom_site_fract_y
_atom_site_fract_z
Tc1 0.000 0.000 0.000
Te1 0.500 0.500 0.000
W1 0.500 0.500 0.500
N1 0.000 0.500 0.500
# polymorph energy (0 for the lowest one) = 0.0 meV per atom
# DOS(E_F) = 0.5690 states/eV per atom
# formation energy without anion corrections = 0.89 eV per atom
# total magnetic moment = 3.6 μB/cell

# Pa2P2N6F | Alexandria | PBE-GGA | optimized geometry
data_Pa2P2N6F
_space_group_name_H-M_alt 'C 1 2/m 1'
_space_group_IT_number 12
_cell_length_a 8.531
_cell_length_b 7.610
_cell_length_c 5.253
_cell_angle_alpha 90.00
_cell_angle_beta 110.62
_cell_angle_gamma 90.00
loop_
_space_group_symop_operation_xyz
'x,y,z'
'-x,-y,-z'
'-x,y,-z'
'x,-y,z'
'x+1/2,y+1/2,z'
'-x+1/2,-y+1/2,-z'
'-x+1/2,y+1/2,-z'
'x+1/2,-y+1/2,z'
loop_
_atom_site_label
_atom_site_fract_x
_atom_site_fract_y
_atom_site_fract_z
Pa1 0.241 0.000 0.050
P1 0.000 0.160 0.500
N1 0.059 0.000 0.320
N2 0.153 0.257 0.726
F1 0.000 0.500 0.000
# DOS(E_F) = 0.3933 states/eV per atom
# formation energy without anion corrections = -1.25 eV per atom
# total magnetic moment = 2.1 μB/cell